A relaxed structure of ThZr2N. Source: Alexandria, functional PBE-GGA.

Energy relative to the elements, uncorrected in eV per atom: -0.6147
Relative energy among the computed polymorphs in eV per atom: 0.000

Structure (CIF):
```
data_ThZr2N
_cell_length_a 3.2980
_cell_length_b 3.2980
_cell_length_c 26.7228
_cell_angle_alpha 90.00
_cell_angle_beta 90.00
_cell_angle_gamma 120.00
_symmetry_space_group_name_H-M 'R -3 m'
_symmetry_Int_Tables_number 166
_symmetry_space_group_name_Hall '-R 3 2"'
loop_
_atom_site_label
_atom_site_type_symbol
_atom_site_fract_x
_atom_site_fract_y
_atom_site_fract_z
Th1 Th 0.0000 0.0000 0.0000
Zr1 Zr 0.0000 0.0000 0.1201
N1 N 0.0000 0.0000 0.5000
```

A relaxed structure of CaSb2P. Source: Alexandria, functional PBE-GGA.

Energy relative to the elements, uncorrected in eV per atom: -0.1057

Structure (CIF):
```
data_CaSb2P
_cell_length_a 4.090
_cell_length_b 4.090
_cell_length_c 6.017
_cell_angle_alpha 90.00
_cell_angle_beta 90.00
_cell_angle_gamma 90.00
_symmetry_space_group_name_H-M 'P 4/m m m'
_symmetry_Int_Tables_number 123
_symmetry_space_group_name_Hall '-P 4 2'
loop_
_atom_site_label
_atom_site_type_symbol
_atom_site_fract_x
_atom_site_fract_y
_atom_site_fract_z
Ca1 Ca 0.000 0.000 0.000
Sb1 Sb 0.500 0.500 0.269
P1 P 0.000 0.000 0.500
```

A relaxed structure of Dy6In3Co. Source: Alexandria, functional PBE-GGA.

Energy of formation in kJ per mole of atoms: -28.30
Relative energy among the computed polymorphs in eV per atom: 0.000

Structure (CIF):
```
data_Dy6In3Co
_cell_length_a 9.199
_cell_length_b 5.262
_cell_length_c 11.358
_cell_angle_alpha 90.00
_cell_angle_beta 108.54
_cell_angle_gamma 90.00
_symmetry_space_group_name_H-M 'P 1 21/m 1'
_symmetry_Int_Tables_number 11
loop_
_symmetry_equiv_pos_as_xyz
'x,y,z'
'-x,-y,-z'
'-x,y+1/2,-z'
'x,-y+1/2,z'
loop_
_atom_site_label
_atom_site_type_symbol
_atom_site_fract_x
_atom_site_fract_y
_atom_site_fract_z
Dy1 Dy 0.044 0.250 0.418
Dy2 Dy 0.196 0.750 0.166
Dy3 Dy 0.284 0.250 0.005
Dy4 Dy 0.350 0.750 0.833
Dy5 Dy 0.375 0.250 0.348
Dy6 Dy 0.394 0.250 0.654
In1 In 0.010 0.750 0.879
In2 In 0.092 0.250 0.721
In3 In 0.274 0.750 0.477
Co1 Co 0.463 0.750 0.092
```

A relaxed structure of TiTePbN2. Source: Alexandria, functional PBE-GGA.

Energy relative to the elements, uncorrected in eV per atom: 1.6509

Structure (CIF):
```
data_TiTePbN2
_cell_length_a 4.206
_cell_length_b 4.206
_cell_length_c 6.139
_cell_angle_alpha 90.00
_cell_angle_beta 90.00
_cell_angle_gamma 90.00
_symmetry_space_group_name_H-M 'P 4/m m m'
_symmetry_Int_Tables_number 123
_symmetry_space_group_name_Hall '-P 4 2'
loop_
_atom_site_label
_atom_site_type_symbol
_atom_site_fract_x
_atom_site_fract_y
_atom_site_fract_z
Ti1 Ti 0.000 0.000 0.000
Te1 Te 0.500 0.500 0.000
Pb1 Pb 0.500 0.500 0.500
N1 N 0.000 0.500 0.500
```

A relaxed structure of Sm7ZnSe5. Source: Alexandria, functional PBE-GGA.

Energy relative to the elements, uncorrected in eV per atom: -1.4352

Structure (CIF):
```
data_Sm7ZnSe5
_cell_length_a 13.673
_cell_length_b 4.115
_cell_length_c 24.939
_cell_angle_alpha 90.00
_cell_angle_beta 90.08
_cell_angle_gamma 90.00
_symmetry_space_group_name_H-M 'C 1 2/m 1'
_symmetry_Int_Tables_number 12
loop_
_symmetry_equiv_pos_as_xyz
'x,y,z'
'-x,-y,-z'
'-x,y,-z'
'x,-y,z'
'x+1/2,y+1/2,z'
'-x+1/2,-y+1/2,-z'
'-x+1/2,y+1/2,-z'
'x+1/2,-y+1/2,z'
loop_
_atom_site_label
_atom_site_type_symbol
_atom_site_fract_x
_atom_site_fract_y
_atom_site_fract_z
Sm1 Sm 0.033 0.000 0.250
Sm2 Sm 0.086 0.500 0.110
Sm3 Sm 0.086 0.500 0.390
Sm4 Sm 0.138 0.000 0.537
Sm5 Sm 0.138 0.000 0.963
Sm6 Sm 0.191 0.500 0.821
Sm7 Sm 0.192 0.500 0.679
Zn1 Zn 0.197 0.500 0.249
Se1 Se 0.000 0.500 0.000
Se2 Se 0.000 0.500 0.500
Se3 Se 0.052 0.000 0.856
Se4 Se 0.053 0.000 0.644
Se5 Se 0.223 0.000 0.072
Se6 Se 0.223 0.000 0.428
```

A relaxed structure of PrTmInGa. Source: Alexandria, functional PBE-GGA.

Energy of formation in kJ per mole of atoms: -46.06
Relative energy among the computed polymorphs in eV per atom: 0.032

Structure (CIF):
```
data_PrTmInGa
_cell_length_a 7.455
_cell_length_b 7.455
_cell_length_c 7.455
_cell_angle_alpha 90.00
_cell_angle_beta 90.00
_cell_angle_gamma 90.00
_symmetry_space_group_name_H-M 'F -4 3 m'
_symmetry_Int_Tables_number 216
_symmetry_space_group_name_Hall 'F -4 2 3'
loop_
_atom_site_label
_atom_site_type_symbol
_atom_site_fract_x
_atom_site_fract_y
_atom_site_fract_z
Pr1 Pr 0.000 0.000 0.000
Tm1 Tm 0.000 0.000 0.500
In1 In 0.250 0.250 0.250
Ga1 Ga 0.250 0.250 0.750
```

What did the first record say?
A relaxed structure of ThZr2N. Source: Alexandria, functional PBE-GGA.

Energy relative to the elements, uncorrected in eV per atom: -0.6147
Relative energy among the computed polymorphs in eV per atom: 0.000

Structure (CIF):
```
data_ThZr2N
_cell_length_a 3.2980
_cell_length_b 3.2980
_cell_length_c 26.7228
_cell_angle_alpha 90.00
_cell_angle_beta 90.00
_cell_angle_gamma 120.00
_symmetry_space_group_name_H-M 'R -3 m'
_symmetry_Int_Tables_number 166
_symmetry_space_group_name_Hall '-R 3 2"'
loop_
_atom_site_label
_atom_site_type_symbol
_atom_site_fract_x
_atom_site_fract_y
_atom_site_fract_z
Th1 Th 0.0000 0.0000 0.0000
Zr1 Zr 0.0000 0.0000 0.1201
N1 N 0.0000 0.0000 0.5000
```